The following is a GGA-PBE calculation of crystalline Pr2ScAl3 at its relaxed geometry, from Alexandria.

## Properties
Electronic total energy, eV/atom: -4.9371

Cell: 5.9495 5.9495 9.3321 Å, 90.00 90.00 120.00°
Fractional coordinates of all 12 atoms:
Sc: 0.0000 0.0000 0.5000
Sc: 0.0000 0.0000 0.0000
Al: 0.8266 0.1734 0.7500
Al: 0.1734 0.8266 0.2500
Al: 0.6531 0.8266 0.2500
Al: 0.3469 0.1734 0.7500
Al: 0.1734 0.3469 0.2500
Al: 0.8266 0.6531 0.7500
Pr: 0.6667 0.3333 0.0635
Pr: 0.3333 0.6667 0.9365
Pr: 0.3333 0.6667 0.5635
Pr: 0.6667 0.3333 0.4365

The following is a GGA-PBE calculation of crystalline SmTm2Co at its relaxed geometry, from Alexandria.

## Properties
Electronic total energy, eV/atom: -5.2073
Polymorph energy (0 for the lowest one), eV/f.u.: 0.51

Cell: 3.6800 3.6800 9.4285 Å, 78.75 78.75 60.00°
Fractional coordinates of all 4 atoms:
Sm: 0.5000 0.5000 0.5000
Tm: 0.7224 0.7224 0.8328
Tm: 0.2776 0.2776 0.1672
Co: 0.0000 0.0000 0.0000

The following is a GGA-PBE calculation of crystalline TbY5Tm2Sc at its relaxed geometry, from Alexandria.

## Properties
Electronic total energy, eV/atom: -5.6399

Cell: 5.5585 10.8258 9.7657 Å, 90.00 90.00 104.88°
Fractional coordinates of all 18 atoms:
Y: 0.2506 0.5013 0.3684
Y: 0.6934 0.3869 0.2069
Y: 0.0198 0.0396 0.0063
Y: 0.6342 0.2684 0.5302
Y: 0.4811 0.9622 0.7338
Y: 0.7494 0.4987 0.8684
Y: 0.9802 0.9604 0.5063
Y: 0.5189 0.0378 0.2338
Y: 0.3658 0.7316 0.0302
Y: 0.3066 0.6131 0.7069
Tm: 0.1232 0.2463 0.7152
Tm: 0.8768 0.7537 0.2152
Tm: 0.8943 0.7886 0.8152
Tm: 0.1057 0.2114 0.3152
Tb: 0.6055 0.2110 0.9223
Tb: 0.3945 0.7890 0.4223
Sc: 0.8136 0.6272 0.5257
Sc: 0.1864 0.3728 0.0257

The following is a GGA-PBE calculation of crystalline ScCuAg2 at its relaxed geometry, from Alexandria.

## Properties
Electronic total energy, eV/atom: -4.1614
Polymorph energy (0 for the lowest one), eV/f.u.: 0.07

Cell: 4.6251 4.6251 4.6251 Å, 60.00 60.00 60.00°
Fractional coordinates of all 4 atoms:
Cu: 0.5000 0.5000 0.5000
Ag: 0.0000 0.0000 0.0000
Ag: 0.2500 0.2500 0.2500
Sc: 0.7500 0.7500 0.7500

The following is a GGA-PBE calculation of crystalline RbLiZrGe2 at its relaxed geometry, from Alexandria.

## Properties
Electronic total energy, eV/atom: -2.3798

Cell: 5.6796 5.4142 5.6796 Å, 90.00 90.00 90.00°
Fractional coordinates of all 5 atoms:
Rb: 0.0000 0.0000 0.0000
Li: 0.5000 0.5000 0.5000
Zr: 0.0000 0.5000 0.0000
Ge: 0.0000 0.0000 0.5000
Ge: 0.5000 0.0000 0.0000

The following is a GGA-PBE calculation of crystalline Sc2AlSb2 at its relaxed geometry, from Alexandria.

## Properties
Electronic total energy, eV/atom: -5.4076
Raw formation energy, eV per atom: -0.478
Polymorph energy (0 for the lowest one), eV/f.u.: 0.05

Cell: 7.6860 7.6860 3.9653 Å, 90.00 90.00 90.00°
Fractional coordinates of all 10 atoms:
Sc: 0.8525 0.6475 0.0000
Sc: 0.1475 0.3525 0.0000
Sc: 0.6475 0.1475 0.0000
Sc: 0.3525 0.8525 0.0000
Sb: 0.3387 0.1613 0.5000
Sb: 0.6613 0.8387 0.5000
Sb: 0.8387 0.3387 0.5000
Sb: 0.1613 0.6613 0.5000
Al: 0.0000 0.0000 0.0000
Al: 0.5000 0.5000 0.0000